# Rb2VSe2O6 | Alexandria | GGA+U | optimized geometry
# Density of states at the Fermi level = 4.847 states/eV per cell
# Uncorrected energy = -117.89 eV/cell
data_Rb2VSe2O6
_cell_length_a 9.0919
_cell_length_b 6.5564
_cell_length_c 6.8129
_cell_angle_alpha 90.00
_cell_angle_beta 110.76
_cell_angle_gamma 90.00
_space_group_name_H-M_alt 'C 1 2/m 1'
_space_group_IT_number 12
loop_
_space_group_symop_operation_xyz
'x,y,z'
'-x,-y,-z'
'-x,y,-z'
'x,-y,z'
'x+1/2,y+1/2,z'
'-x+1/2,-y+1/2,-z'
'-x+1/2,y+1/2,-z'
'x+1/2,-y+1/2,z'
loop_
_atom_site_label
_atom_site_fract_x
_atom_site_fract_y
_atom_site_fract_z
Rb1 0.2028 0.0000 0.1048
V1 0.0000 0.0000 0.5000
Se1 0.0819 0.5000 0.3295
O1 0.0481 0.1975 0.3357
O2 0.2344 0.0000 0.7059